# 1
PBE KTaFe2Cu, relaxed; theoretical density = 8.13 g/cm³; space-group type = P4/mmm (123)
1.0
4.249 0.000 0.000
0.000 4.249 0.000
0.000 0.000 4.474
K Ta Fe Cu
1 1 2 1
direct
0.000 0.000 0.000
0.500 0.500 0.500
0.000 0.500 0.000
0.500 0.000 0.000
0.000 0.000 0.500

---

# 2
PBE K2TiFeCu, relaxed; theoretical density = 2.28 g/cm³; space-group type = P4/mmm (123)
1.0
6.554 0.000 0.000
0.000 6.554 0.000
0.000 0.000 4.159
K Ti Fe Cu
2 1 1 1
direct
0.000 0.500 0.000
0.500 0.000 0.000
0.000 0.000 0.000
0.000 0.000 0.500
0.500 0.500 0.500

---

# 3
PBE KZrFe2Cu, relaxed; theoretical density = 6.09 g/cm³; excess energy over the best structure of this formula in the dataset = 0.828 eV per atom; space-group type = P4/mmm (123)
1.0
4.207 0.000 0.000
0.000 4.207 0.000
0.000 0.000 4.712
K Zr Fe Cu
1 1 2 1
direct
0.000 0.000 0.000
0.000 0.000 0.500
0.000 0.500 0.000
0.500 0.000 0.000
0.500 0.500 0.500

---

# 4
PBE KZrFe2Cu, relaxed; theoretical density = 3.83 g/cm³; excess energy over the best structure of this formula in the dataset = 0.000 eV per atom; space-group type = P4/mmm (123)
1.0
4.678 0.000 0.000
0.000 4.678 0.000
0.000 0.000 6.061
K Zr Fe Cu
1 1 2 1
direct
0.000 0.000 0.000
0.000 0.000 0.500
0.000 0.500 0.500
0.500 0.000 0.500
0.500 0.500 0.000

---

# 5
PBE K2ZrFeCu, relaxed; theoretical density = 2.73 g/cm³; space-group type = P4/mmm (123)
1.0
6.218 0.000 0.000
0.000 6.218 0.000
0.000 0.000 4.544
K Zr Fe Cu
2 1 1 1
direct
0.000 0.500 0.000
0.500 0.000 0.000
0.000 0.000 0.500
0.500 0.500 0.000
0.500 0.500 0.500

---

# 6
PBE LaFeCu2, relaxed; theoretical density = 7.61 g/cm³; space-group type = Fm-3m (225)
1.0
6.549 0.000 0.000
0.000 6.549 0.000
0.000 0.000 6.549
La Fe Cu
4 4 8
direct
0.000 0.000 0.000
0.000 0.500 0.500
0.500 0.000 0.500
0.500 0.500 0.000
0.000 0.000 0.500
0.000 0.500 0.000
0.500 0.000 0.000
0.500 0.500 0.500
0.250 0.250 0.250
0.250 0.250 0.750
0.250 0.750 0.250
0.250 0.750 0.750
0.750 0.250 0.250
0.750 0.250 0.750
0.750 0.750 0.250
0.750 0.750 0.750

---

# 7
PBE LaFeCu2, relaxed; theoretical density = 7.90 g/cm³; space-group type = I4/mmm (139)
1.0
3.955 0.000 0.000
0.000 3.955 0.000
0.000 0.000 8.655
La Fe Cu
2 2 4
direct
0.000 0.000 0.000
0.500 0.500 0.500
0.000 0.000 0.500
0.500 0.500 0.000
0.000 0.500 0.250
0.000 0.500 0.750
0.500 0.000 0.250
0.500 0.000 0.750

---

# 8
PBE La8FeCu2, relaxed; theoretical density = 6.32 g/cm³; space-group type = C2/m (12)
1.0
9.484 -1.977 0.000
9.484 1.977 0.000
-0.471 0.000 9.073
La Fe Cu
8 1 2
direct
0.004 0.004 0.200
0.228 0.228 0.333
0.350 0.350 0.011
0.407 0.407 0.491
0.593 0.593 0.509
0.650 0.650 0.989
0.772 0.772 0.667
0.996 0.996 0.800
0.500 0.500 0.000
0.162 0.162 0.729
0.838 0.838 0.271

---

no.,energy of formation from the pure elements (eV/atom)
1,2.431
2,1.229
3,2.490
4,1.661
5,1.522
6,0.445
7,0.268
8,-0.014